{"formula": "Ac4MoO10", "functional": "PBE+U", "state": "relaxed", "e_tot_ev_per_fu": -110.24, "lattice_angstrom": [[-4.500, 4.500, 2.904], [4.500, -4.500, 2.904], [4.500, 4.500, -2.904]], "species": ["Ac", "Ac", "Ac", "Ac", "Mo", "O", "O", "O", "O", "O", "O", "O", "O", "O", "O"], "frac_coords": [[0.399, 0.801, 0.200], [0.801, 0.601, 0.401], [0.199, 0.399, 0.599], [0.601, 0.199, 0.800], [0.000, 0.000, 0.000], [0.750, 0.250, 0.500], [0.122, 0.041, 0.740], [0.619, 0.878, 0.919], [0.959, 0.699, 0.081], [0.301, 0.381, 0.260], [0.878, 0.959, 0.260], [0.250, 0.750, 0.500], [0.699, 0.619, 0.740], [0.041, 0.301, 0.919], [0.381, 0.122, 0.081]]}